1.
! PBE Hf4CdHg, relaxed; values from VASP
! - total energy (eV/atom) = -6.929
! - ΔH_f (0 K) (kJ/mol of formula units) = -52
&SYSTEM
  ibrav = 0, nat = 6, ntyp = 3
/
ATOMIC_SPECIES
Hg 200.59 Hg.upf
Hf 178.49 Hf.upf
Cd 112.41 Cd.upf
CELL_PARAMETERS angstrom
-2.818 -0.487 -1.184
1.202 -1.996 -2.038
-1.956 -10.225 8.860
ATOMIC_POSITIONS angstrom
Hg -1.786 -6.354 2.819
Hf -1.306 -6.827 5.916
Hf -2.422 -9.680 5.701
Hf -1.150 -3.028 -0.063
Hf -0.650 -3.397 2.944
Cd 0.000 0.000 0.000

***

2.
! PBE Sc6NbO12, relaxed; values from VASP
! - formation energy without anion corrections (eV/atom) = -3.219
! - total energy (eV/atom) = -8.880
&SYSTEM
  ibrav = 0, nat = 19, ntyp = 3
/
ATOMIC_SPECIES
O 16.00 O.upf
Sc 44.96 Sc.upf
Nb 92.91 Nb.upf
CELL_PARAMETERS angstrom
-2.352 -0.926 5.616
-4.734 -2.018 -3.384
3.640 -4.955 -0.362
ATOMIC_POSITIONS angstrom
O -1.789 -4.483 2.985
O -1.890 -5.265 -3.033
O -3.731 -4.262 0.337
O -0.747 -5.625 0.080
O -1.656 -3.416 -1.115
O -2.698 -2.273 1.790
O -1.555 -2.633 4.903
O -5.195 -2.459 2.731
O 0.286 -3.636 1.532
O 1.445 -5.206 3.362
O 1.750 -5.439 -0.862
O -4.890 -2.692 -1.493
Sc 0.340 -3.808 -0.524
Sc -2.525 -5.432 -0.952
Sc -3.132 -2.237 -0.283
Sc -0.313 -5.662 2.153
Sc -0.921 -2.466 2.822
Sc -3.786 -4.090 2.394
Nb 0.000 0.000 0.000

***

3.
! PBE MnRuCl2, relaxed; values from VASP
! - formation energy without anion corrections (eV/atom) = 0.720
! - total energy (eV/atom) = -4.814
! - E above lowest polymorph (meV/atom) = 875
&SYSTEM
  ibrav = 0, nat = 4, ntyp = 3
/
ATOMIC_SPECIES
Cl 35.45 Cl.upf
Mn 54.94 Mn.upf
Ru 101.07 Ru.upf
CELL_PARAMETERS angstrom
-3.859 -0.977 -2.261
-0.302 -3.852 -2.456
-2.686 -3.421 1.428
ATOMIC_POSITIONS angstrom
Cl 0.000 0.000 0.000
Cl -1.712 -2.062 -0.822
Mn -3.424 -4.124 -1.644
Ru -5.136 -6.187 -2.466